This record from Alexandria via LeMat-Bulk describes a relaxed structure of K2Zr. The functional is GGA-PBE.

The structure in CIF format:
```
data_K2Zr
_cell_length_a 6.6705
_cell_length_b 6.6705
_cell_length_c 3.1329
_cell_angle_alpha 90.00
_cell_angle_beta 90.00
_cell_angle_gamma 120.00
_space_group_name_H-M_alt 'P -3 m 1'
_space_group_IT_number 164
_space_group_name_Hall '-P 3 2"'
loop_
_atom_site_label
_atom_site_type_symbol
_atom_site_fract_x
_atom_site_fract_y
_atom_site_fract_z
K1 K 0.3333 0.6667 0.4775
Zr1 Zr 0.0000 0.0000 0.0000
```

=====

This record from Alexandria via LeMat-Bulk describes a relaxed structure of K2Zr. The functional is GGA-PBE.

The structure in CIF format:
```
data_K2Zr
_cell_length_a 21.4146
_cell_length_b 3.3514
_cell_length_c 8.5353
_cell_angle_alpha 90.00
_cell_angle_beta 110.94
_cell_angle_gamma 90.00
_space_group_name_H-M_alt 'C 1 2/m 1'
_space_group_IT_number 12
loop_
_space_group_symop_operation_xyz
'x,y,z'
'-x,-y,-z'
'-x,y,-z'
'x,-y,z'
'x+1/2,y+1/2,z'
'-x+1/2,-y+1/2,-z'
'-x+1/2,y+1/2,-z'
'x+1/2,-y+1/2,z'
loop_
_atom_site_label
_atom_site_type_symbol
_atom_site_fract_x
_atom_site_fract_y
_atom_site_fract_z
K1 K 0.0768 0.0000 0.3529
K2 K 0.1442 0.5000 0.9204
Zr1 Zr 0.2478 0.5000 0.6324
```

=====

This record from Alexandria via LeMat-Bulk describes a relaxed structure of KZr. The functional is GGA-PBE.

The structure in CIF format:
```
data_KZr
_cell_length_a 3.2635
_cell_length_b 5.5010
_cell_length_c 6.9805
_cell_angle_alpha 90.00
_cell_angle_beta 90.00
_cell_angle_gamma 90.00
_space_group_name_H-M_alt 'C m m m'
_space_group_IT_number 65
_space_group_name_Hall '-C 2 2'
loop_
_atom_site_label
_atom_site_type_symbol
_atom_site_fract_x
_atom_site_fract_y
_atom_site_fract_z
K1 K 0.0000 0.0000 0.0000
Zr1 Zr 0.0000 0.5000 0.5000
```

=====

This record from Alexandria via LeMat-Bulk describes a relaxed structure of KZr. The functional is GGA-PBE.

The structure in CIF format:
```
data_KZr
_cell_length_a 4.9770
_cell_length_b 3.3430
_cell_length_c 29.7832
_cell_angle_alpha 90.00
_cell_angle_beta 90.00
_cell_angle_gamma 90.00
_space_group_name_H-M_alt 'A m m 2'
_space_group_IT_number 38
loop_
_space_group_symop_operation_xyz
'x,y,z'
'-x,-y,z'
'-x,y,z'
'x,-y,z'
'x,y+1/2,z+1/2'
'-x,-y+1/2,z+1/2'
'-x,y+1/2,z+1/2'
'x,-y+1/2,z+1/2'
loop_
_atom_site_label
_atom_site_type_symbol
_atom_site_fract_x
_atom_site_fract_y
_atom_site_fract_z
K1 K 0.0000 0.0000 0.0000
K2 K 0.0000 0.0000 0.2595
K3 K 0.5000 0.0000 0.3803
Zr1 Zr 0.0000 0.0000 0.6287
Zr2 Zr 0.5000 0.0000 0.0928
Zr3 Zr 0.5000 0.0000 0.6760
```

=====

This record from Alexandria via LeMat-Bulk describes a relaxed structure of KZr. The functional is GGA-PBE.

The structure in CIF format:
```
data_KZr
_cell_length_a 4.9963
_cell_length_b 4.9963
_cell_length_c 25.5599
_cell_angle_alpha 90.00
_cell_angle_beta 90.00
_cell_angle_gamma 120.00
_space_group_name_H-M_alt 'P -3 m 1'
_space_group_IT_number 164
_space_group_name_Hall '-P 3 2"'
loop_
_atom_site_label
_atom_site_type_symbol
_atom_site_fract_x
_atom_site_fract_y
_atom_site_fract_z
K1 K 0.0000 0.0000 0.1041
K2 K 0.3333 0.6667 0.2293
K3 K 0.3333 0.6667 0.4377
Zr1 Zr 0.0000 0.0000 0.3336
Zr2 Zr 0.3333 0.6667 0.0000
Zr3 Zr 0.3333 0.6667 0.6665
```

=====

This record from Alexandria via LeMat-Bulk describes a relaxed structure of KZr. The functional is GGA-PBE.

The structure in CIF format:
```
data_KZr
_cell_length_a 6.5301
_cell_length_b 6.5301
_cell_length_c 5.1668
_cell_angle_alpha 90.00
_cell_angle_beta 90.00
_cell_angle_gamma 120.00
_space_group_name_H-M_alt 'P 63/m m c'
_space_group_IT_number 194
_space_group_name_Hall '-P 6c 2c'
loop_
_atom_site_label
_atom_site_type_symbol
_atom_site_fract_x
_atom_site_fract_y
_atom_site_fract_z
K1 K 0.3333 0.6667 0.2500
Zr1 Zr 0.0000 0.0000 0.0000
```

=====

This record from Alexandria via LeMat-Bulk describes a relaxed structure of KZr2. The functional is GGA-PBE.

The structure in CIF format:
```
data_KZr2
_cell_length_a 3.2241
_cell_length_b 24.8953
_cell_length_c 5.1862
_cell_angle_alpha 90.00
_cell_angle_beta 90.00
_cell_angle_gamma 90.00
_space_group_name_H-M_alt 'C m c m'
_space_group_IT_number 63
_space_group_name_Hall '-C 2c 2'
loop_
_atom_site_label
_atom_site_type_symbol
_atom_site_fract_x
_atom_site_fract_y
_atom_site_fract_z
K1 K 0.0000 0.1811 0.2500
Zr1 Zr 0.0000 0.0681 0.7500
Zr2 Zr 0.0000 0.4620 0.7500
```

=====

This record from Alexandria via LeMat-Bulk describes a relaxed structure of KZr. The functional is GGA-PBE.

The structure in CIF format:
```
data_KZr
_cell_length_a 6.5631
_cell_length_b 6.5631
_cell_length_c 6.5631
_cell_angle_alpha 90.00
_cell_angle_beta 90.00
_cell_angle_gamma 90.00
_space_group_name_H-M_alt 'F m -3 m'
_space_group_IT_number 225
_space_group_name_Hall '-F 4 2 3'
loop_
_atom_site_label
_atom_site_type_symbol
_atom_site_fract_x
_atom_site_fract_y
_atom_site_fract_z
K1 K 0.0000 0.0000 0.0000
Zr1 Zr 0.0000 0.0000 0.5000
```

=====

Number 1: formation enthalpy at 0 K 1.006 eV per atom, total magnetic moment 0.53 μB per formula unit, DFT total energy -7.724 eV for the cell shown. Number 2: formation enthalpy at 0 K 0.632 eV per atom, total magnetic moment 0.00 μB per formula unit, DFT total energy -35.384 eV for the cell shown. Number 3: formation enthalpy at 0 K 0.876 eV per atom, total magnetic moment 0.05 μB per formula unit, DFT total energy -15.787 eV for the cell shown. Number 4: formation enthalpy at 0 K 0.485 eV per atom, total magnetic moment 0.00 μB per formula unit, DFT total energy -52.055 eV for the cell shown. Number 5: formation enthalpy at 0 K 1.117 eV per atom, total magnetic moment 2.35 μB per formula unit, DFT total energy -44.467 eV for the cell shown. Number 6: formation enthalpy at 0 K 1.272 eV per atom, total magnetic moment 0.00 μB per formula unit, DFT total energy -14.205 eV for the cell shown. Number 7: formation enthalpy at 0 K 0.418 eV per atom, total magnetic moment 0.00 μB per formula unit, DFT total energy -67.760 eV for the cell shown. Number 8: formation enthalpy at 0 K 2.158 eV per atom, total magnetic moment 1.04 μB per formula unit, DFT total energy -21.321 eV for the cell shown.